Pr6Hg3N2 after structural relaxation, computed with PBE.

```
11
Lattice="-2.479 2.479 12.551 2.479 -2.479 12.551 2.479 2.479 -12.551" Properties=species:S:1:pos:R:3 pbc="T T T"
Pr 2.479 0.000 2.160
Pr 0.000 0.000 4.990
Pr 2.479 0.000 10.391
Pr 0.000 2.479 2.160
Pr 0.000 0.000 20.112
Pr 0.000 2.479 10.391
Hg 0.000 0.000 8.190
Hg 0.000 0.000 12.551
Hg 0.000 0.000 16.912
N 0.000 0.000 2.699
N 0.000 0.000 22.402
```

Properties
Uncorrected formation energy, eV/atom: -0.63
SG: I4/mmm (139)
V, Å³/cell: 308.50

=====

Pr4HgN2 after structural relaxation, computed with PBE.

```
7
Lattice="1.850 1.068 14.545 -1.850 1.068 14.545 0.000 -2.137 14.545" Properties=species:S:1:pos:R:3 pbc="T T T"
Pr 0.000 0.000 5.400
Pr 0.000 0.000 11.945
Pr 0.000 0.000 31.690
Pr 0.000 0.000 38.235
Hg 0.000 0.000 0.000
N 0.000 0.000 18.599
N 0.000 0.000 25.036
```

Properties
Uncorrected formation energy, eV/atom: -0.81
SG: R-3m (166)
V, Å³/cell: 172.53

=====

Pr3HgN2 after structural relaxation, computed with PBE.

```
12
Lattice="4.221 0.000 0.000 0.000 12.375 0.000 0.000 0.000 5.389" Properties=species:S:1:pos:R:3 pbc="T T T"
Pr 1.055 0.479 1.320
Pr 1.055 3.094 4.040
Pr 1.055 5.709 1.320
Pr 3.166 6.666 4.069
Pr 3.166 9.282 1.350
Pr 3.166 11.897 4.069
Hg 1.055 9.282 4.004
Hg 3.166 3.094 1.385
N 1.055 0.672 4.180
N 1.055 5.516 4.180
N 3.166 6.859 1.209
N 3.166 11.704 1.209
```

Properties
Uncorrected formation energy, eV/atom: -0.93
SG: Pmmn (59)
Offset from the most stable computed form, meV/atom: 0.0
V, Å³/cell: 281.52

=====

Pr6Hg2N after structural relaxation, computed with PBE.

```
18
Lattice="6.892 0.000 0.000 0.000 7.384 0.000 -6.885 0.000 10.521" Properties=species:S:1:pos:R:3 pbc="T T T"
Pr -2.129 1.576 4.851
Pr -5.571 2.117 10.111
Pr -1.387 5.126 4.835
Pr -4.829 5.951 10.095
Pr 0.651 0.113 2.498
Pr -2.792 3.579 7.759
Pr 2.799 3.805 2.762
Pr -0.644 7.272 8.023
Pr 4.837 1.434 0.426
Pr 1.394 2.258 5.686
Pr 5.578 5.268 0.410
Pr 2.136 5.809 5.670
Hg -3.761 0.497 7.858
Hg -0.318 3.195 2.597
Hg 0.325 4.190 7.923
Hg 3.768 6.887 2.663
N 0.000 0.000 0.000
N -3.443 3.692 5.260
```

Properties
Uncorrected formation energy, eV/atom: -0.48
SG: P2_1/c (14)
V, Å³/cell: 535.47